[1]
{
  "formula": "Dy3YTm2Se6",
  "functional": "PBE",
  "state": "relaxed",
  "lattice": [[-3.8114, 0.3697, -5.8893], [-1.8588, -4.3899, 5.1595], [-1.8379, 6.1258, 2.9637]],
  "species": ["Se", "Dy", "Se", "Se", "Se", "Se", "Se", "Dy", "Dy", "Tm", "Y", "Tm"],
  "frac_coords": [[0.9178, 0.5792, 0.7525], [0.5000, 0.5000, 0.5000], [0.2565, 0.2565, 0.7554], [0.4208, 0.0822, 0.2475], [0.0822, 0.4208, 0.2475], [0.7435, 0.7435, 0.2446], [0.5792, 0.9178, 0.7525], [0.8373, 0.1627, 0.5000], [0.1627, 0.8373, 0.5000], [0.6659, 0.3341, 0.0000], [0.0000, 0.0000, 0.0000], [0.3341, 0.6659, 0.0000]],
  "magmom_total_mub_per_fu": 0.0,
  "raw_formation_energy_ev_per_atom": -1.7234
}

[2]
{
  "formula": "Pb3Br5Cl",
  "functional": "PBE",
  "state": "relaxed",
  "lattice": [[-6.5600, 0.9057, 5.2566], [-6.9487, -0.5630, -4.7839], [-4.3707, -9.8816, 1.6146]],
  "species": ["Pb", "Br", "Br", "Br", "Cl", "Br", "Pb", "Br", "Pb", "Br", "Br", "Pb", "Cl", "Br", "Pb", "Br", "Br", "Pb"],
  "frac_coords": [[0.3359, 0.3359, 0.1670], [0.2998, 0.7002, 0.0000], [0.0253, 0.6286, 0.6562], [0.2356, 0.2356, 0.9586], [0.9101, 0.9101, 0.2923], [0.7644, 0.7644, 0.0414], [0.6790, 0.6790, 0.3412], [0.9747, 0.3714, 0.3438], [0.3210, 0.3210, 0.6588], [0.5516, 0.5516, 0.6422], [0.7002, 0.2998, 0.0000], [0.0000, 0.0000, 0.5000], [0.0899, 0.0899, 0.7077], [0.6286, 0.0253, 0.6562], [0.6641, 0.6641, 0.8330], [0.4484, 0.4484, 0.3578], [0.3714, 0.9747, 0.3438], [0.0000, 0.0000, 0.0000]],
  "magmom_total_mub_per_fu": 0.0,
  "raw_formation_energy_ev_per_atom": -0.9422
}

[3]
{
  "formula": "YBeW2",
  "functional": "PBE",
  "state": "relaxed",
  "lattice": [[-2.3214, 4.8702, 0.2394], [-1.7553, -3.8670, 3.3363], [1.8383, 0.7840, 1.8759]],
  "species": ["Y", "W", "W", "Be"],
  "frac_coords": [[0.5000, 0.0000, 0.5000], [0.0000, 0.0000, 0.0000], [0.5000, 0.5000, 0.0000], [0.0000, 0.5000, 0.5000]],
  "magmom_total_mub_per_fu": 0.0,
  "delta_e_f_mev_per_atom": 804
}